# Rb2ScPaO6

A relaxed structure of Rb2ScPaO6 (GGA-PBE, the Alexandria database).

Summary:
Total magnetic moment in μB per formula unit: 2.1
ΔE_f (raw) in meV/atom: -2514
ρ in g/cm3: 5.61

abc: 8.630 8.630 8.630
angles: 90.00 90.00 90.00
Space group Fm-3m (No. 225)
Symmetry-distinct sites (fractional):
1 Rb 0.250 0.250 0.250 [8 per cell]
2 Sc 0.000 0.000 0.000 [4 per cell]
3 Pa 0.000 0.000 0.500 [4 per cell]
4 O 0.000 0.000 0.248 [24 per cell]